1.
## SrPdF4 (PBE)

Data for crystalline SrPdF4 at its relaxed geometry.

a = 7.3920 Å, b = 6.8108 Å, c = 5.8344 Å
α = 71.07°, β = 60.64°, γ = 48.30°
Last column: nearest neighbours and their distance in Å.
Sites, in units of the cell vectors:
1 Sr 0.1250 0.1250 0.1250  8 F 2.52-2.58
2 Sr 0.8750 0.8750 0.8750  8 F 2.52-2.58
3 Pd 0.3750 0.3750 0.3750  4 F 2.04
4 Pd 0.6250 0.6250 0.6250  4 F 2.04
5 F 0.0755 0.4382 0.7276  1 Pd 2.04
6 F 0.2586 0.7276 0.4382  1 Pd 2.04
7 F 0.2724 0.7414 0.9245  1 Pd 2.04
8 F 0.4382 0.0755 0.2586  1 Pd 2.04
9 F 0.5618 0.9245 0.7414  1 Pd 2.04
10 F 0.7276 0.2586 0.0755  1 Pd 2.04
11 F 0.7414 0.2724 0.5618  1 Pd 2.04
12 F 0.9245 0.5618 0.2724  1 Pd 2.04

Properties
- crystal system = orthorhombic
- E (eV/atom) = -4.90
- E above lowest polymorph (meV/atom) = 69

=====

2.
## SrPdF5 (PBE)

Data for crystalline SrPdF5 at its relaxed geometry.

a = 5.8584 Å, b = 5.8584 Å, c = 8.5300 Å
α = 111.32°, β = 111.32°, γ = 68.90°
Last column: nearest neighbours and their distance in Å.
Sites, in units of the cell vectors:
1 Sr 0.0472 0.9528 0.7500  7 F 2.38-2.58
2 Sr 0.9528 0.0472 0.2500  7 F 2.38-2.58
3 Pd 0.5000 0.5000 0.0000  6 F 1.97-2.17
4 Pd 0.5000 0.5000 0.5000  6 F 1.97-2.17
5 F 0.1917 0.7913 0.0215  1 Pd 2.00
6 F 0.2087 0.8083 0.4785  1 Pd 2.00
7 F 0.2589 0.2884 0.3859  1 Pd 1.97
8 F 0.2884 0.2589 0.8859  1 Pd 1.97
9 F 0.4370 0.5630 0.7500  2 Pd 2.17
10 F 0.5630 0.4370 0.2500  2 Pd 2.17
11 F 0.7116 0.7411 0.1141  1 Pd 1.97
12 F 0.7411 0.7116 0.6141  1 Pd 1.97
13 F 0.7913 0.1917 0.5215  1 Pd 2.00
14 F 0.8083 0.2087 0.9785  1 Pd 2.00

Properties
- crystal system = monoclinic
- E (eV/atom) = -4.76

=====

3.
## SrPdF2 (PBE)

Data for crystalline SrPdF2 at its relaxed geometry.

a = 6.0809 Å, b = 6.0809 Å, c = 6.0809 Å
α = 39.79°, β = 39.79°, γ = 39.79°
Last column: nearest neighbours and their distance in Å.
Sites, in units of the cell vectors:
1 Sr 0.0000 0.0000 0.0000  6 F 2.48
2 Pd 0.5000 0.5000 0.5000  2 F 2.11
3 F 0.3740 0.3740 0.3740  1 Pd 2.11
4 F 0.6260 0.6260 0.6260  1 Pd 2.11

Properties
- crystal system = trigonal
- E (eV/atom) = -4.92
- DOS(E_F) (states/eV per cell) = 0.0
- E above lowest polymorph (meV/atom) = 0

=====

4.
## SrTlPd2F (PBE)

Data for crystalline SrTlPd2F at its relaxed geometry.

a = 5.1438 Å, b = 5.1438 Å, c = 4.8650 Å
α = 90.00°, β = 90.00°, γ = 90.00°
Last column: nearest neighbours and their distance in Å.
Sites, in units of the cell vectors:
1 Sr 0.0000 0.0000 0.0000  8 Pd 3.54, 4 F 3.64
2 Tl 0.5000 0.5000 0.5000  2 F 2.43, 4 Pd 2.57
3 Pd 0.0000 0.5000 0.5000  2 Tl 2.57
4 Pd 0.5000 0.0000 0.5000  2 Tl 2.57
5 F 0.5000 0.5000 0.0000  2 Tl 2.43

Properties
- crystal system = tetragonal
- E (eV/atom) = -3.89
- DOS(E_F) (states/eV per cell) = 2.6

=====

5.
## TaPd3F (PBE)

Data for crystalline TaPd3F at its relaxed geometry.

a = 4.3085 Å, b = 4.3085 Å, c = 4.3085 Å
α = 90.00°, β = 90.00°, γ = 90.00°
Last column: nearest neighbours and their distance in Å.
Sites, in units of the cell vectors:
1 Ta 0.0000 0.0000 0.0000  12 Pd 3.05
2 Pd 0.0000 0.5000 0.5000  2 F 2.15
3 Pd 0.5000 0.0000 0.5000  2 F 2.15
4 Pd 0.5000 0.5000 0.0000  2 F 2.15
5 F 0.5000 0.5000 0.5000  6 Pd 2.15

Properties
- crystal system = cubic
- E (eV/atom) = -5.52
- DOS(E_F) (states/eV per cell) = 2.8
- E above lowest polymorph (meV/atom) = 0

=====

6.
## TaPd3F (PBE)

Data for crystalline TaPd3F at its relaxed geometry.

a = 4.8462 Å, b = 4.8462 Å, c = 4.8462 Å
α = 90.00°, β = 90.00°, γ = 90.00°
Last column: nearest neighbours and their distance in Å.
Sites, in units of the cell vectors:
1 Ta 0.0000 0.0000 0.0000  6 Pd 2.42
2 Pd 0.0000 0.0000 0.5000  2 Ta 2.42
3 Pd 0.0000 0.5000 0.0000  2 Ta 2.42
4 Pd 0.5000 0.0000 0.0000  2 Ta 2.42
5 F 0.5000 0.5000 0.5000  12 Pd 3.43

Properties
- crystal system = cubic
- E (eV/atom) = -5.13
- DOS(E_F) (states/eV per cell) = 3.0
- E above lowest polymorph (meV/atom) = 396

=====

7.
## TbPd2F8 (PBE)

Data for crystalline TbPd2F8 at its relaxed geometry.

a = 6.0076 Å, b = 6.0076 Å, c = 4.9921 Å
α = 93.87°, β = 93.87°, γ = 72.90°
Last column: nearest neighbours and their distance in Å.
Sites, in units of the cell vectors:
1 Tb 0.0000 0.0000 0.0000  6 F 2.20-2.22
2 Pd 0.3824 0.3824 0.7453  4 F 1.97-2.00
3 Pd 0.6176 0.6176 0.2547  4 F 1.97-2.00
4 F 0.1066 0.6677 0.7550  1 Pd 2.00, 1 Tb 2.22
5 F 0.1750 0.1750 0.7468  1 Pd 2.00, 1 Tb 2.20
6 F 0.3323 0.8934 0.2450  1 Pd 2.00, 1 Tb 2.22
7 F 0.4133 0.4133 0.2536  1 Pd 1.97
8 F 0.5867 0.5867 0.7464  1 Pd 1.97
9 F 0.6677 0.1066 0.7550  1 Pd 2.00, 1 Tb 2.22
10 F 0.8250 0.8250 0.2532  1 Pd 2.00, 1 Tb 2.20
11 F 0.8934 0.3323 0.2450  1 Pd 2.00, 1 Tb 2.22

Properties
- crystal system = monoclinic
- E (eV/atom) = -4.94
- DOS(E_F) (states/eV per cell) = 2.8

=====

8.
## TbPdF (PBE)

Data for crystalline TbPdF at its relaxed geometry.

a = 4.8648 Å, b = 4.8648 Å, c = 8.1282 Å
α = 118.20°, β = 118.20°, γ = 45.45°
Last column: nearest neighbours and their distance in Å.
Sites, in units of the cell vectors:
1 Tb 0.1729 0.1729 0.2563  3 F 2.34-2.38
2 Tb 0.8271 0.8271 0.7437  3 F 2.34-2.38
3 Pd 0.3762 0.3762 0.0537  3 Pd 2.72-2.77, 5 Tb 2.97-3.02
4 Pd 0.6238 0.6238 0.9463  3 Pd 2.72-2.77, 5 Tb 2.97-3.02
5 F 0.1868 0.1868 0.5566  3 Tb 2.34-2.38, 2 F 2.60
6 F 0.8132 0.8132 0.4434  3 Tb 2.34-2.38, 2 F 2.60

Properties
- crystal system = monoclinic
- E (eV/atom) = -6.05
- DOS(E_F) (states/eV per cell) = 1.9

=====

9.
## TcPd3F (PBE)

Data for crystalline TcPd3F at its relaxed geometry.

a = 4.7741 Å, b = 4.7741 Å, c = 4.7741 Å
α = 90.00°, β = 90.00°, γ = 90.00°
Last column: nearest neighbours and their distance in Å.
Sites, in units of the cell vectors:
1 Tc 0.0000 0.0000 0.0000  6 Pd 2.39
2 Pd 0.0000 0.0000 0.5000  2 Tc 2.39
3 Pd 0.0000 0.5000 0.0000  2 Tc 2.39
4 Pd 0.5000 0.0000 0.0000  2 Tc 2.39
5 F 0.5000 0.5000 0.5000  12 Pd 3.38

Properties
- crystal system = cubic
- E (eV/atom) = -4.57
- DOS(E_F) (states/eV per cell) = 4.6
- E above lowest polymorph (meV/atom) = 401

=====

10.
## TcPdF6 (PBE)

Data for crystalline TcPdF6 at its relaxed geometry.

a = 5.1701 Å, b = 5.1701 Å, c = 9.8126 Å
α = 90.00°, β = 90.00°, γ = 120.00°
Last column: nearest neighbours and their distance in Å.
Sites, in units of the cell vectors:
1 Tc 0.0000 0.0000 0.0000  6 F 1.97
2 Tc 0.0000 0.0000 0.5000  6 F 1.97
3 Pd 0.3333 0.6667 0.2500  6 F 2.20
4 Pd 0.6667 0.3333 0.7500  6 F 2.20
5 F 0.0037 0.3128 0.1166  1 Tc 1.97, 1 Pd 2.20
6 F 0.0037 0.6910 0.3834  1 Tc 1.97, 1 Pd 2.20
7 F 0.3090 0.3128 0.3834  1 Tc 1.97, 1 Pd 2.20
8 F 0.3090 0.9963 0.1166  1 Tc 1.97, 1 Pd 2.20
9 F 0.3128 0.0037 0.6166  1 Tc 1.97, 1 Pd 2.20
10 F 0.3128 0.3090 0.8834  1 Tc 1.97, 1 Pd 2.20
11 F 0.6872 0.6910 0.1166  1 Tc 1.97, 1 Pd 2.20
12 F 0.6872 0.9963 0.3834  1 Tc 1.97, 1 Pd 2.20
13 F 0.6910 0.0037 0.8834  1 Tc 1.97, 1 Pd 2.20
14 F 0.6910 0.6872 0.6166  1 Tc 1.97, 1 Pd 2.20
15 F 0.9963 0.3090 0.6166  1 Tc 1.97, 1 Pd 2.20
16 F 0.9963 0.6872 0.8834  1 Tc 1.97, 1 Pd 2.20

Properties
- crystal system = trigonal
- E (eV/atom) = -5.06
- DOS(E_F) (states/eV per cell) = 9.7

=====

11.
## Tc2PdF (PBE)

Data for crystalline Tc2PdF at its relaxed geometry.

a = 4.2748 Å, b = 4.2748 Å, c = 4.2748 Å
α = 60.00°, β = 60.00°, γ = 60.00°
Last column: nearest neighbours and their distance in Å.
Sites, in units of the cell vectors:
1 Tc 0.2500 0.2500 0.2500  4 F 2.62, 4 Pd 2.62
2 Tc 0.7500 0.7500 0.7500  4 F 2.62, 4 Pd 2.62
3 Pd 0.0000 0.0000 0.0000  8 Tc 2.62
4 F 0.5000 0.5000 0.5000  8 Tc 2.62

Properties
- crystal system = cubic
- E (eV/atom) = -6.56
- DOS(E_F) (states/eV per cell) = 4.9
- E above lowest polymorph (meV/atom) = 0

=====

12.
## TcPd3F (PBE)

Data for crystalline TcPd3F at its relaxed geometry.

a = 4.3446 Å, b = 4.3446 Å, c = 4.3446 Å
α = 90.00°, β = 90.00°, γ = 90.00°
Last column: nearest neighbours and their distance in Å.
Sites, in units of the cell vectors:
1 Tc 0.0000 0.0000 0.0000  12 Pd 3.07
2 Pd 0.0000 0.5000 0.5000  2 F 2.17
3 Pd 0.5000 0.0000 0.5000  2 F 2.17
4 Pd 0.5000 0.5000 0.0000  2 F 2.17
5 F 0.5000 0.5000 0.5000  6 Pd 2.17

Properties
- crystal system = cubic
- E (eV/atom) = -4.98
- DOS(E_F) (states/eV per cell) = 3.0
- E above lowest polymorph (meV/atom) = 0

=====

13.
## TcPdF3 (PBE)

Data for crystalline TcPdF3 at its relaxed geometry.

a = 4.3011 Å, b = 4.3011 Å, c = 4.3011 Å
α = 90.00°, β = 90.00°, γ = 90.00°
Last column: nearest neighbours and their distance in Å.
Sites, in units of the cell vectors:
1 Tc 0.0000 0.0000 0.0000  12 F 3.04
2 Pd 0.5000 0.5000 0.5000  6 F 2.15
3 F 0.0000 0.5000 0.5000  2 Pd 2.15
4 F 0.5000 0.0000 0.5000  2 Pd 2.15
5 F 0.5000 0.5000 0.0000  2 Pd 2.15

Properties
- crystal system = cubic
- E (eV/atom) = -4.56
- DOS(E_F) (states/eV per cell) = 5.0
- E above lowest polymorph (meV/atom) = 467